Here is crystalline Pr3GaBrCl at its relaxed geometry from the Alexandria database. Energies are from GGA-PBE.

Geometry as POSCAR:
```
Pr3GaBrCl
1.0
-3.760 -0.740 -1.319
1.313 -9.110 1.369
-4.266 7.787 7.789
Pr Cl Br Ga
6 2 2 2
Direct
0.250 0.047 0.901
0.250 0.518 0.820
0.750 0.482 0.180
0.750 0.320 0.470
0.250 0.680 0.530
0.750 0.953 0.099
0.750 0.818 0.447
0.250 0.182 0.553
0.750 0.271 0.857
0.250 0.729 0.143
0.750 0.713 0.760
0.250 0.287 0.240
```

Computed properties:
- Formation energy without anion corrections: -1118 meV per atom

Here is crystalline Pr6Ga2Br3Cl at its relaxed geometry from the Alexandria database. Energies are from GGA-PBE.

Geometry as POSCAR:
```
Pr6Ga2Br3Cl
1.0
-6.757 -1.638 -2.491
5.396 -5.034 -0.276
-1.449 -0.174 7.686
Pr Ga Cl Br
6 2 1 3
Direct
0.736 0.736 0.219
0.928 0.592 0.782
0.592 0.928 0.782
0.072 0.408 0.218
0.408 0.072 0.218
0.264 0.264 0.781
0.334 0.666 0.000
0.666 0.334 0.000
0.000 0.000 0.000
0.173 0.827 0.500
0.500 0.500 0.500
0.827 0.173 0.500
```

Computed properties:
- Formation energy without anion corrections: -1065 meV per atom

Here is crystalline RbGaBr2Cl at its relaxed geometry from the Alexandria database. Energies are from GGA-PBE.

Geometry as POSCAR:
```
RbGaBr2Cl
1.0
5.443 0.000 0.000
0.000 5.443 0.000
0.000 0.000 5.213
Cl Br Rb Ga
1 2 1 1
Direct
0.000 0.000 0.500
0.500 0.000 0.000
0.000 0.500 0.000
0.500 0.500 0.500
0.000 0.000 0.000
```

Computed properties:
- Formation energy without anion corrections: -1172 meV per atom

Here is crystalline RbGaBrCl2 at its relaxed geometry from the Alexandria database. Energies are from GGA-PBE.

Geometry as POSCAR:
```
RbGaBrCl2
1.0
-2.887 0.711 4.279
4.228 -0.687 2.967
1.002 5.287 -0.203
Cl Ga Rb Br
2 1 1 1
Direct
0.500 0.000 0.000
0.000 0.500 0.000
0.000 0.000 0.000
0.500 0.500 0.500
0.000 0.000 0.500
```

Computed properties:
- Formation energy without anion corrections: -1250 meV per atom

| no. | V (A^3/atom) |
| --- | --- |
| 1 | 29.7 |
| 2 | 29.1 |
| 3 | 30.9 |
| 4 | 29.2 |